DFT (PBE) results for a geometry-optimized LaYN2F structure.

Calculated values
volume: 94.6 Å³ per cell
density of states at the Fermi level: 1.16 states/eV/f.u.
crystal system: tetragonal
ΔE_f (raw): 132.6 meV per atom
magnetic moment: 0.204 μB per atom
E above lowest polymorph: 7.927 eV/f.u.

```
data_LaYN2F
_chemical_formula_sum 'La1 Y1 N2 F1'
_cell_length_a 4.851
_cell_length_b 4.851
_cell_length_c 4.019
_cell_angle_alpha 90.00
_cell_angle_beta 90.00
_cell_angle_gamma 90.00
_symmetry_space_group_name_H-M 'P 4/m m m'
_symmetry_Int_Tables_number 123
_symmetry_space_group_name_Hall '-P 4 2'
loop_
_atom_site_label
_atom_site_fract_x
_atom_site_fract_y
_atom_site_fract_z
La1 0.000 0.000 0.000
Y1 0.500 0.500 0.000
N1 0.000 0.500 0.500
F1 0.000 0.000 0.500
```

---

DFT (PBE) results for a geometry-optimized Ac3ErSb4 structure.

Calculated values
volume: 585.5 Å³ per cell
density of states at the Fermi level: 0.75 states/eV/f.u.
crystal system: orthorhombic
ΔE_f (raw): -1148.4 meV per atom
magnetic moment: 0.000 μB per atom
E above lowest polymorph: 0.019 eV/f.u.

```
data_Ac3ErSb4
_chemical_formula_sum 'Ac6 Er2 Sb8'
_cell_length_a 9.381
_cell_length_b 13.268
_cell_length_c 4.703
_cell_angle_alpha 90.00
_cell_angle_beta 90.00
_cell_angle_gamma 90.00
_symmetry_space_group_name_H-M 'C m m m'
_symmetry_Int_Tables_number 65
_symmetry_space_group_name_Hall '-C 2 2'
loop_
_atom_site_label
_atom_site_fract_x
_atom_site_fract_y
_atom_site_fract_z
Ac1 0.000 0.000 0.000
Ac2 0.250 0.250 0.500
Er1 0.000 0.500 0.000
Sb1 0.000 0.259 0.000
Sb2 0.233 0.500 0.500
```

---

DFT (PBE) results for a geometry-optimized Nd2HoTl structure.

Calculated values
ΔE_f: 0.0777 eV/atom
volume: 413.2 Å³ per cell
density of states at the Fermi level: 4.35 states/eV/f.u.
crystal system: trigonal
magnetic moment: 0.000 μB per atom
E above lowest polymorph: 1.085 eV/f.u.

```
data_Nd2HoTl
_chemical_formula_sum 'Nd6 Ho3 Tl3'
_cell_length_a 3.5900
_cell_length_b 3.5900
_cell_length_c 37.0172
_cell_angle_alpha 90.00
_cell_angle_beta 90.00
_cell_angle_gamma 120.00
_symmetry_space_group_name_H-M 'R -3 m'
_symmetry_Int_Tables_number 166
_symmetry_space_group_name_Hall '-R 3 2"'
loop_
_atom_site_label
_atom_site_fract_x
_atom_site_fract_y
_atom_site_fract_z
Nd1 0.0000 0.0000 0.0891
Ho1 0.0000 0.0000 0.5000
Tl1 0.0000 0.0000 0.0000
```

---

DFT (PBE) results for a geometry-optimized TeHPt2 structure.

Calculated values
volume: 265.4 Å³ per cell
density of states at the Fermi level: 1.11 states/eV/f.u.
crystal system: tetragonal
magnetic moment: 0.000 μB per atom
E above lowest polymorph: 0.000 eV/f.u.

```
data_TeHPt2
_chemical_formula_sum 'Te4 H4 Pt8'
_cell_length_a 5.012
_cell_length_b 5.012
_cell_length_c 10.566
_cell_angle_alpha 90.00
_cell_angle_beta 90.00
_cell_angle_gamma 90.00
_symmetry_space_group_name_H-M 'I -4 2 d'
_symmetry_Int_Tables_number 122
_symmetry_space_group_name_Hall 'I -4 2bw'
loop_
_atom_site_label
_atom_site_fract_x
_atom_site_fract_y
_atom_site_fract_z
Te1 0.000 0.000 0.000
H1 0.000 0.000 0.500
Pt1 0.127 0.250 0.625
```

---

DFT (PBE) results for a geometry-optimized CaTbTl structure.

Calculated values
ΔE_f: -0.3303 eV/atom
volume: 176.9 Å³ per cell
density of states at the Fermi level: 0.86 states/eV/f.u.
crystal system: hexagonal
magnetic moment: 0.000 μB per atom
E above lowest polymorph: 0.000 eV/f.u.

```
data_CaTbTl
_chemical_formula_sum 'Ca2 Tb2 Tl2'
_cell_length_a 5.4246
_cell_length_b 5.4246
_cell_length_c 6.9433
_cell_angle_alpha 90.00
_cell_angle_beta 90.00
_cell_angle_gamma 120.00
_symmetry_space_group_name_H-M 'P 63/m m c'
_symmetry_Int_Tables_number 194
_symmetry_space_group_name_Hall '-P 6c 2c'
loop_
_atom_site_label
_atom_site_fract_x
_atom_site_fract_y
_atom_site_fract_z
Ca1 0.0000 0.0000 0.0000
Tb1 0.3333 0.6667 0.2500
Tl1 0.3333 0.6667 0.7500
```

---

DFT (PBE) results for a geometry-optimized NaLaV2 structure.

Calculated values
ΔE_f: 0.9963 eV/atom
volume: 392.3 Å³ per cell
density of states at the Fermi level: 7.54 states/eV/f.u.
crystal system: cubic
magnetic moment: 1.863 μB per atom
E above lowest polymorph: 0.000 eV/f.u.

```
data_NaLaV2
_chemical_formula_sum 'Na4 La4 V8'
_cell_length_a 7.320
_cell_length_b 7.320
_cell_length_c 7.320
_cell_angle_alpha 90.00
_cell_angle_beta 90.00
_cell_angle_gamma 90.00
_symmetry_space_group_name_H-M 'F m -3 m'
_symmetry_Int_Tables_number 225
_symmetry_space_group_name_Hall '-F 4 2 3'
loop_
_atom_site_label
_atom_site_fract_x
_atom_site_fract_y
_atom_site_fract_z
Na1 0.000 0.000 0.000
La1 0.000 0.000 0.500
V1 0.250 0.250 0.250
```